CaTiS2N (PBE, optimized geometry); DOS at the Fermi energy = 6.2 states/eV/f.u.; formation energy (no corrections) = 350 kJ/mol of formula units; volume = 20.71 A^3/atom; energy = -0.336 Ry/atom; energy above the most stable polymorph in this dataset = 8.848 eV/f.u.
1.0
5.048 0.000 0.000
0.000 5.048 0.000
0.000 0.000 4.064
Ca Ti S N
1 1 2 1
Direct
0.000 0.000 0.000
0.500 0.500 0.500
0.000 0.500 0.000
0.500 0.000 0.000
0.000 0.000 0.500